(1)
Compound: NiAsSe2
Source: the Alexandria database
Functional: PBE
Structure: optimized geometry

Computed properties:
Its crystal system is orthorhombic. The calculated total energy is -4.251 eV per atom.

Unit cell a=3.910 b=3.943 c=10.518 alpha=90.00 beta=90.00 gamma=90.00
Space group Cmm2 (No. 35)
Symmetry-distinct sites (fractional):
Ni: 0.000 0.000 0.000 x2
As: 0.000 0.500 0.849 x2
Se: 0.000 0.000 0.537 x2
Se: 0.000 0.500 0.174 x2

***

(2)
Compound: ZrTe6Pt
Source: the Alexandria database
Functional: PBE
Structure: optimized geometry

Computed properties:
Its crystal system is trigonal. The calculated total energy is -4.445 eV per atom.

Unit cell a=7.0998 b=7.0998 c=16.0290 alpha=90.00 beta=90.00 gamma=120.00
Space group R-3 (No. 148, hexagonal axes)
Symmetry-distinct sites (fractional):
Zr: 0.0000 0.0000 0.0000 x3
Te: 0.0138 0.6397 0.9212 x18
Pt: 0.0000 0.0000 0.5000 x3

***

(3)
Compound: LiLaFe2
Source: the Alexandria database
Functional: PBE
Structure: optimized geometry

Computed properties:
For the energy above the most stable polymorph in this dataset, the calculation gives 373 meV/atom. Its crystal system is tetragonal.

Unit cell a=4.417 b=4.417 c=17.211 alpha=90.00 beta=90.00 gamma=90.00
Space group I-42d (No. 122)
Symmetry-distinct sites (fractional):
Li: 0.000 0.000 0.000 x4
La: 0.000 0.000 0.500 x4
Fe: 0.039 0.250 0.125 x8

***

(4)
Compound: CeNdCo2
Source: the Alexandria database
Functional: PBE
Structure: optimized geometry

Computed properties:
For the energy above the most stable polymorph in this dataset, the calculation gives 139 meV/atom. Its crystal system is tetragonal.

Unit cell a=3.367 b=3.367 c=6.885 alpha=90.00 beta=90.00 gamma=90.00
Space group P4/mmm (No. 123)
Symmetry-distinct sites (fractional):
Ce: 0.000 0.000 0.000 x1
Nd: 0.000 0.000 0.500 x1
Co: 0.500 0.500 0.204 x2

***

(5)
Compound: CeLuMgPb
Source: the Alexandria database
Functional: PBE
Structure: optimized geometry

Computed properties:
Its crystal system is cubic. The calculated total energy is -4.122 eV per atom.

Unit cell a=7.614 b=7.614 c=7.614 alpha=90.00 beta=90.00 gamma=90.00
Space group F-43m (No. 216)
Symmetry-distinct sites (fractional):
Ce: 0.000 0.000 0.000 x4
Lu: 0.000 0.000 0.500 x4
Mg: 0.250 0.250 0.750 x4
Pb: 0.250 0.250 0.250 x4

***

(6)
Compound: PmLuSbPb
Source: the Alexandria database
Functional: PBE
Structure: optimized geometry

Computed properties:
Its crystal system is cubic. The calculated total energy is -4.794 eV per atom.

Unit cell a=7.689 b=7.689 c=7.689 alpha=90.00 beta=90.00 gamma=90.00
Space group F-43m (No. 216)
Symmetry-distinct sites (fractional):
Pm: 0.000 0.000 0.000 x4
Lu: 0.000 0.000 0.500 x4
Sb: 0.250 0.250 0.250 x4
Pb: 0.250 0.250 0.750 x4